Below is crystalline Zr3OsPd at its relaxed geometry, with properties calculated at the PBEsol level.

Cell and atoms, written as CIF:
```
data_Zr3OsPd
_symmetry_space_group_name_H-M 'P m -3 m'
_symmetry_Int_Tables_number 221
_symmetry_space_group_name_Hall '-P 4 2 3'
_cell_length_a 4.942
_cell_length_b 4.942
_cell_length_c 4.942
_cell_angle_alpha 90.00
_cell_angle_beta 90.00
_cell_angle_gamma 90.00
loop_
_atom_site_label
_atom_site_type_symbol
_atom_site_fract_x
_atom_site_fract_y
_atom_site_fract_z
_atom_site_occupancy
Zr1 Zr 0.000 0.000 0.500 1
Os1 Os 0.000 0.000 0.000 1
Pd1 Pd 0.500 0.500 0.500 1
```

Output
Energy relative to the elements, eV/f.u.: 2.4

***

Below is crystalline ScSi2Rh at its relaxed geometry, with properties calculated at the PBEsol level.

Cell and atoms, written as CIF:
```
data_ScSi2Rh
_symmetry_space_group_name_H-M 'R -3 m'
_symmetry_Int_Tables_number 166
_symmetry_space_group_name_Hall '-R 3 2"'
_cell_length_a 2.9564
_cell_length_b 2.9564
_cell_length_c 24.3379
_cell_angle_alpha 90.00
_cell_angle_beta 90.00
_cell_angle_gamma 120.00
loop_
_atom_site_label
_atom_site_type_symbol
_atom_site_fract_x
_atom_site_fract_y
_atom_site_fract_z
_atom_site_occupancy
Sc1 Sc 0.0000 0.0000 0.0000 1
Si1 Si 0.0000 0.0000 0.2407 1
Rh1 Rh 0.0000 0.0000 0.5000 1
```

Output
ΔE_f (raw), eV/atom: -0.4314